Entry 1:
Ac3Si2Au (PBE-GGA, optimized geometry); raw formation energy = -0.5285 eV/atom; total magnetization = 0.0 μB/f.u.; E_tot = -29.62 eV per formula unit
1.0
-2.5106 -6.6677 -3.2213
-2.8336 -5.0583 5.2462
-7.7965 -0.5631 -0.1904
Si Au Ac
4 2 6
direct
0.8608 0.8608 0.8608
0.3608 0.3608 0.3608
0.1392 0.1392 0.1392
0.6392 0.6392 0.6392
0.5000 0.5000 0.5000
0.0000 0.0000 0.0000
0.4545 0.0455 0.7500
0.9545 0.2500 0.5455
0.2500 0.5455 0.9545
0.0455 0.7500 0.4545
0.5455 0.9545 0.2500
0.7500 0.4545 0.0455

Entry 2:
YTiN2O (PBE-GGA, optimized geometry); raw formation energy = 0.2490 eV/atom; total magnetization = 0.0 μB/f.u.; E_tot = -34.72 eV per formula unit
1.0
4.3104 0.0000 0.0000
0.0000 4.3104 0.0000
0.0000 0.0000 4.1945
N Y Ti O
2 1 1 1
direct
0.5000 0.0000 0.0000
0.0000 0.5000 0.0000
0.0000 0.0000 0.0000
0.5000 0.5000 0.5000
0.0000 0.0000 0.5000

Entry 3:
Pr8SiOs3I4 (PBE-GGA, optimized geometry); raw formation energy = -0.6130 eV/atom; total magnetization = 0.0 μB/f.u.; E_tot = -93.36 eV per formula unit
1.0
-1.3408 -4.0965 7.3908
-7.7755 -4.0230 -3.6388
7.3092 -1.1808 -4.2790
Pr I Os Si
8 4 3 1
direct
0.7312 0.6939 0.4625
0.2342 0.6838 0.4683
0.2688 0.3061 0.5375
0.7152 0.6838 0.9494
0.2343 0.6837 0.9493
0.7657 0.3163 0.0507
0.7658 0.3162 0.5317
0.2848 0.3162 0.0506
0.5000 0.0000 0.0000
0.0000 0.0000 0.0000
0.5000 0.0000 0.5000
0.0000 0.0000 0.5000
0.5000 0.5000 0.5000
0.5000 0.5000 0.0000
0.0000 0.5000 0.5000
0.0000 0.5000 0.0000

> Which formula does entry 3 have?

Pr8SiOs3I4

> Among the records above, which one has the highest raw formation energy?

YTiN2O

> Among the records above, which one has the lowest E_tot?

Pr8SiOs3I4

> Among the records above, which one has the highest raw formation energy?

YTiN2O